(1)
A relaxed ZrInCoCu crystal. Source: Alexandria, functional PBE-GGA.

Cell and atoms, written as extended XYZ:
```
4
Lattice="4.511 0.000 0.000 2.256 3.907 0.000 2.256 1.302 3.683" Properties=species:S:1:pos:R:3 pbc="T T T"
Cu 6.767 3.907 2.763
Zr 0.000 0.000 0.000
In 4.511 2.605 1.842
Co 2.256 1.302 0.921
```

Energy of formation: -0.1944 eV per atom
Symmetry: F-43m (216)
Total magnetic moment: 0.86 μB/f.u.
DOS at the Fermi energy: 0.866 states/eV/atom



(2)
A relaxed La3TiCo crystal. Source: Alexandria, functional PBE-GGA.

Cell and atoms, written as extended XYZ:
```
5
Lattice="-3.344 1.361 -3.954 3.080 -2.624 -3.507 -2.829 -4.465 0.856" Properties=species:S:1:pos:R:3 pbc="T T T"
Ti -1.547 -2.864 -3.303
La -1.415 -2.232 0.428
La 1.540 -1.312 -1.754
La -1.672 0.681 -1.977
Co 0.000 0.000 0.000
```

Energy of formation: 0.2657 eV per atom
Symmetry: Pm-3m (221)
E above lowest polymorph: 0 meV per atom
Total magnetic moment: 3.09 μB/f.u.
DOS at the Fermi energy: 1.508 states/eV/atom



(3)
A relaxed Pa2AlSi crystal. Source: Alexandria, functional PBE-GGA.

Cell and atoms, written as extended XYZ:
```
4
Lattice="-3.289 2.581 -0.978 -1.988 -3.315 -2.059 -1.993 -1.125 3.734" Properties=species:S:1:pos:R:3 pbc="T T T"
Pa -0.994 -1.657 -1.030
Pa -0.997 -0.562 1.867
Si -1.645 1.290 -0.489
Al -3.635 -0.929 0.348
```

Symmetry: P4/mmm (123)
E above lowest polymorph: 0 meV per atom
Raw formation energy: -0.24 eV/atom
Total magnetic moment: 0.00 μB/f.u.
DOS at the Fermi energy: 1.458 states/eV/atom



(4)
A relaxed Ho3Fe crystal. Source: Alexandria, functional PBE-GGA.

Cell and atoms, written as extended XYZ:
```
8
Lattice="5.877 0.000 0.000 0.000 5.483 -3.165 0.000 0.000 6.331" Properties=species:S:1:pos:R:3 pbc="T T T"
Ho 4.408 1.909 1.102
Ho 4.408 0.000 4.127
Ho 1.469 1.909 -1.102
Ho 1.469 5.483 -0.961
Ho 4.408 3.574 -2.063
Ho 1.469 3.574 2.064
Fe 2.939 0.000 0.000
Fe 0.000 0.000 0.000
```

Energy of formation: -0.0421 eV per atom
Symmetry: P6_3/mcm (193)
Total magnetic moment: 0.00 μB/f.u.
DOS at the Fermi energy: 0.666 states/eV/atom



Question: Which value of total magnetic moment does entry 3 give?
Answer: 0.00 μB/f.u.